! NaCr3Se4O12 (GGA+U, relaxed); values from VASP
! raw total energy	-5.825	eV per atom
! magnetization	8.80	μB per formula unit
! crystal system	trigonal
&SYSTEM
  ibrav = 0, nat = 20, ntyp = 4
/
ATOMIC_SPECIES
Na 22.99 Na.upf
Cr 52.00 Cr.upf
Se 78.96 Se.upf
O 16.00 O.upf
ATOMIC_POSITIONS angstrom
Na 0.0000 0.0000 0.0000
Cr -3.0442 -0.7837 2.7230
Cr 2.2008 -2.2445 2.7230
Cr 0.8434 3.0282 2.7230
Se -2.0773 -3.5980 4.0846
Se 0.0000 0.0000 4.0846
Se -2.0773 3.5979 4.0846
Se 4.1546 0.0000 4.0846
O -1.2974 -1.2438 1.8963
O -4.5713 0.0000 4.0846
O -0.4285 1.7455 1.8963
O -1.9262 0.0000 4.0846
O 1.7259 -0.5017 1.8963
O 2.2857 -3.9589 4.0846
O 0.9631 -1.6681 4.0846
O -0.4285 -1.7455 6.2728
O 0.9631 1.6681 4.0846
O -1.2975 1.2438 6.2728
O 2.2857 3.9589 4.0846
O 1.7259 0.5017 6.2728
CELL_PARAMETERS angstrom
5.2451 3.0282 2.7230
-5.2451 3.0282 2.7230
0.0000 -6.0565 2.7230